No. 1
The following is a DFT calculation (PBE-GGA) of an optimized crystal structure of LiCd2Tc.

Cell and atoms, written as CIF:
```
data_LiCd2Tc
_chemical_formula_sum 'Li2 Cd4 Tc2'
_symmetry_space_group_name_H-M 'C m m m'
_symmetry_Int_Tables_number 65
_symmetry_space_group_name_Hall '-C 2 2'
_cell_length_a 6.177
_cell_length_b 7.720
_cell_length_c 2.902
_cell_angle_alpha 90.00
_cell_angle_beta 90.00
_cell_angle_gamma 90.00
loop_
_atom_site_label
_atom_site_type_symbol
_atom_site_fract_x
_atom_site_fract_y
_atom_site_fract_z
_atom_site_occupancy
Li1 Li 0.000 0.000 0.000 1
Cd1 Cd 0.250 0.250 0.500 1
Tc1 Tc 0.000 0.500 0.000 1
```

* energy relative to the lowest polymorph listed for this composition: 0 meV/atom

---

No. 2
The following is a DFT calculation (PBE-GGA) of an optimized crystal structure of Li2CdTc.

Cell and atoms, written as CIF:
```
data_Li2CdTc
_chemical_formula_sum 'Li4 Cd2 Tc2'
_symmetry_space_group_name_H-M 'C m m 2'
_symmetry_Int_Tables_number 35
_cell_length_a 3.379
_cell_length_b 4.246
_cell_length_c 9.352
_cell_angle_alpha 90.00
_cell_angle_beta 90.00
_cell_angle_gamma 90.00
loop_
_symmetry_equiv_pos_as_xyz
'x,y,z'
'-x,-y,z'
'-x,y,z'
'x,-y,z'
'x+1/2,y+1/2,z'
'-x+1/2,-y+1/2,z'
'-x+1/2,y+1/2,z'
'x+1/2,-y+1/2,z'
loop_
_atom_site_label
_atom_site_type_symbol
_atom_site_fract_x
_atom_site_fract_y
_atom_site_fract_z
_atom_site_occupancy
Li1 Li 0.000 0.000 0.000 1
Li2 Li 0.000 0.500 0.271 1
Cd1 Cd 0.000 0.000 0.517 1
Tc1 Tc 0.000 0.500 0.772 1
```

---

No. 3
The following is a DFT calculation (PBE-GGA) of an optimized crystal structure of Li2CdTc.

Cell and atoms, written as CIF:
```
data_Li2CdTc
_chemical_formula_sum 'Li4 Cd2 Tc2'
_symmetry_space_group_name_H-M 'C m m m'
_symmetry_Int_Tables_number 65
_symmetry_space_group_name_Hall '-C 2 2'
_cell_length_a 5.649
_cell_length_b 8.692
_cell_length_c 2.586
_cell_angle_alpha 90.00
_cell_angle_beta 90.00
_cell_angle_gamma 90.00
loop_
_atom_site_label
_atom_site_type_symbol
_atom_site_fract_x
_atom_site_fract_y
_atom_site_fract_z
_atom_site_occupancy
Li1 Li 0.250 0.250 0.000 1
Cd1 Cd 0.000 0.000 0.500 1
Tc1 Tc 0.000 0.500 0.500 1
```

---

Number 1: energy of formation from the pure elements 0.52 eV/f.u.. Number 2: energy of formation from the pure elements 0.87 eV/f.u.. Number 3: energy of formation from the pure elements 1.01 eV/f.u..